[1]
A plane-wave DFT calculation with PBEsol was carried out for crystalline InAuCl3 at its relaxed geometry.

calculated density = 5.5 g/cm³
formation energy (no corrections) = -0.152 eV per atom
total magnetic moment = 0.0001 μB/atom
symmetry = Pm-3m (221)

abc: 5.0258 5.0258 5.0258
angles: 90.00 90.00 90.00
Last column: nearest neighbours and their distance in Å.
Element x y z (fractional)
Cl1 0.0000 0.5000 0.0000  2 In 2.51
Cl2 0.0000 0.0000 0.5000  2 In 2.51
Cl3 0.5000 0.0000 0.0000  2 In 2.51
Au1 0.5000 0.5000 0.5000  12 Cl 3.55
In1 0.0000 0.0000 0.0000  6 Cl 2.51

---

[2]
A plane-wave DFT calculation with PBEsol was carried out for crystalline InPAuCl2 at its relaxed geometry.

calculated density = 5.6 g/cm³
formation energy (no corrections) = 0.142 eV per atom
total magnetic moment = 0.2922 μB/atom
symmetry = P4/mmm (123)

abc: 4.7350 5.1105 5.1105
angles: 90.00 90.00 90.00
Last column: nearest neighbours and their distance in Å.
Element x y z (fractional)
P1 0.5000 0.0000 0.0000  2 Au 2.37
Cl1 0.0000 0.0000 0.5000  2 Au 2.56
Cl2 0.0000 0.5000 0.0000  2 Au 2.56
Au1 0.0000 0.0000 0.0000  2 P 2.37, 4 Cl 2.56
In1 0.5000 0.5000 0.5000  8 Cl 3.48, 4 P 3.61

---

[3]
A plane-wave DFT calculation with PBEsol was carried out for crystalline IrAuCl4 at its relaxed geometry.

calculated density = 7.8 g/cm³
formation energy (no corrections) = 1.491 eV per atom
total magnetic moment = 0.2579 μB/atom
symmetry = F-43m (216)

abc: 5.4165 5.4165 5.4165
angles: 60.00 60.00 60.00
Last column: nearest neighbours and their distance in Å.
Element x y z (fractional)
Ir1 0.7500 0.7500 0.7500  12 Cl 3.17, 4 Au 3.32
Au1 0.0000 0.0000 0.0000  12 Cl 3.18, 4 Ir 3.32
Cl1 0.3755 0.3755 0.3755  6 Cl 2.70-2.72
Cl2 0.3755 0.3755 0.8736  6 Cl 2.70-2.72
Cl3 0.8736 0.3755 0.3755  6 Cl 2.70-2.72
Cl4 0.3755 0.8736 0.3755  6 Cl 2.70-2.72

---

[4]
A plane-wave DFT calculation with PBEsol was carried out for crystalline IrAuCl2 at its relaxed geometry.

calculated density = 11.4 g/cm³
formation energy (no corrections) = 0.690 eV per atom
total magnetic moment = 0.0595 μB/atom
symmetry = Pmmm (47)

abc: 2.9168 4.1699 5.5084
angles: 90.00 90.00 90.00
Last column: nearest neighbours and their distance in Å.
Element x y z (fractional)
Ir1 0.5000 0.5000 0.0000  4 Cl 2.54
Au1 0.0000 0.5000 0.5000  4 Cl 2.54
Cl1 0.0000 0.0000 0.0000  4 Ir 2.54
Cl2 0.5000 0.0000 0.5000  4 Au 2.54

---

DFT total energy
In order: -2.74 -3.20 -2.14 -3.75
Unit: eV/atom